Record 1
# U3Tl4AuSe8 | the Alexandria database | PBE | relaxed
# Raw formation energy, eV/atom: -0.7424
# DOS at the Fermi energy, states/eV per atom: 0.77
# Volume, Å³/f.u.: 462.7
data_U3Tl4AuSe8
_cell_length_a 14.300
_cell_length_b 8.214
_cell_length_c 9.209
_cell_angle_alpha 90.00
_cell_angle_beta 121.19
_cell_angle_gamma 90.00
_space_group_name_H-M_alt 'C 1 2/m 1'
_space_group_IT_number 12
loop_
_space_group_symop_operation_xyz
'x,y,z'
'-x,-y,-z'
'-x,y,-z'
'x,-y,z'
'x+1/2,y+1/2,z'
'-x+1/2,-y+1/2,-z'
'-x+1/2,y+1/2,-z'
'x+1/2,-y+1/2,z'
loop_
_atom_site_label
_atom_site_type_symbol
_atom_site_fract_x
_atom_site_fract_y
_atom_site_fract_z
_atom_site_occupancy
U1 U 0.000 0.000 0.000 1
U2 U 0.250 0.250 0.000 1
Tl1 Tl 0.000 0.000 0.500 1
Tl2 Tl 0.000 0.500 0.500 1
Tl3 Tl 0.250 0.250 0.500 1
Au1 Au 0.000 0.500 0.000 1
Se1 Se 0.017 0.246 0.795 1
Se2 Se 0.236 0.000 0.208 1
Se3 Se 0.240 0.500 0.207 1

Record 2
# BaLi2NiH8 | the Alexandria database | PBE | relaxed
# Total DFT energy (no corrections), eV/f.u.: -42.03
# Volume, Å³/f.u.: 125.0
data_BaLi2NiH8
_cell_length_a 4.5153
_cell_length_b 4.5153
_cell_length_c 7.0775
_cell_angle_alpha 90.00
_cell_angle_beta 90.00
_cell_angle_gamma 120.00
_space_group_name_H-M_alt 'P -3 m 1'
_space_group_IT_number 164
_space_group_name_Hall '-P 3 2"'
loop_
_atom_site_label
_atom_site_type_symbol
_atom_site_fract_x
_atom_site_fract_y
_atom_site_fract_z
_atom_site_occupancy
Ba1 Ba 0.0000 0.0000 0.0000 1
Li1 Li 0.3333 0.6667 0.3844 1
Ni1 Ni 0.0000 0.0000 0.5000 1
H1 H 0.1563 0.3126 0.6240 1
H2 H 0.3333 0.6667 0.1185 1

Question: volume of number 1 (U3Tl4AuSe8)?
Answer: 462.7 Å³/f.u.

Question: Among the records above, which one has the highest volume?
Answer: U3Tl4AuSe8

Question: volume of number 1 (U3Tl4AuSe8)?
Answer: 462.7 Å³/f.u.